# 1
Here is a geometry-optimized Co2GeSb2 structure from Alexandria via LeMat-Bulk. Energies are from GGA-PBE. Values from VASP.

Properties
The calculation puts the energy relative to the elements, uncorrected at 227 meV/atom. Its density of states at the Fermi level is 7.8 states/eV/cell. As for the symmetry: P4/mbm. Its total moment is 0.78 μB per formula unit.

Geometry as Quantum ESPRESSO input:
```
&SYSTEM
  ibrav = 0, nat = 10, ntyp = 3
/
ATOMIC_SPECIES
Co 58.93 Co.upf
Ge 72.64 Ge.upf
Sb 121.76 Sb.upf
CELL_PARAMETERS angstrom
7.453 0.000 0.000
0.000 7.453 0.000
0.000 0.000 3.078
ATOMIC_POSITIONS crystal
Co 0.132 0.368 0.000
Co 0.368 0.868 0.000
Co 0.632 0.132 0.000
Co 0.868 0.632 0.000
Ge 0.000 0.000 0.000
Ge 0.500 0.500 0.000
Sb 0.160 0.660 0.500
Sb 0.340 0.160 0.500
Sb 0.660 0.840 0.500
Sb 0.840 0.340 0.500
```

---

# 2
Here is a geometry-optimized CoGeSb structure from Alexandria via LeMat-Bulk. Energies are from GGA-PBE. Values from VASP.

Properties
The calculation puts the energy relative to the elements, uncorrected at -50 meV/atom. The distance to the lowest polymorph of the same formula is 0 meV/atom. Its density of states at the Fermi level is 2.1 states/eV/cell. As for the symmetry: F-43m. Its total moment is 0.00 μB per formula unit.

Geometry as Quantum ESPRESSO input:
```
&SYSTEM
  ibrav = 0, nat = 3, ntyp = 3
/
ATOMIC_SPECIES
Co 58.93 Co.upf
Ge 72.64 Ge.upf
Sb 121.76 Sb.upf
CELL_PARAMETERS angstrom
0.000 2.993 2.993
2.993 0.000 2.993
2.993 2.993 0.000
ATOMIC_POSITIONS crystal
Co 0.000 0.000 0.000
Ge 0.250 0.250 0.250
Sb 0.750 0.750 0.750
```

---

# 3
Here is a geometry-optimized Co3GeSb structure from Alexandria via LeMat-Bulk. Energies are from GGA-PBE. Values from VASP.

Properties
The calculation puts the energy relative to the elements, uncorrected at 1187 meV/atom. The distance to the lowest polymorph of the same formula is 533 meV/atom. Its density of states at the Fermi level is 8.3 states/eV/cell. As for the symmetry: Pm-3m. Its total moment is 3.48 μB per formula unit.

Geometry as Quantum ESPRESSO input:
```
&SYSTEM
  ibrav = 0, nat = 5, ntyp = 3
/
ATOMIC_SPECIES
Co 58.93 Co.upf
Ge 72.64 Ge.upf
Sb 121.76 Sb.upf
CELL_PARAMETERS angstrom
4.656 0.000 0.000
0.000 4.656 0.000
0.000 0.000 4.656
ATOMIC_POSITIONS crystal
Co 0.000 0.000 0.500
Co 0.000 0.500 0.000
Co 0.500 0.000 0.000
Ge 0.500 0.500 0.500
Sb 0.000 0.000 0.000
```

---

# 4
Here is a geometry-optimized Co2GeSb structure from Alexandria via LeMat-Bulk. Energies are from GGA-PBE. Values from VASP.

Properties
The calculation puts the energy relative to the elements, uncorrected at 270 meV/atom. The distance to the lowest polymorph of the same formula is 96 meV/atom. Its density of states at the Fermi level is 9.5 states/eV/cell. As for the symmetry: I-42d. Its total moment is 0.43 μB per formula unit.

Geometry as Quantum ESPRESSO input:
```
&SYSTEM
  ibrav = 0, nat = 8, ntyp = 3
/
ATOMIC_SPECIES
Co 58.93 Co.upf
Ge 72.64 Ge.upf
Sb 121.76 Sb.upf
CELL_PARAMETERS angstrom
-2.039 2.039 7.900
2.039 -2.039 7.900
2.039 2.039 -7.900
ATOMIC_POSITIONS crystal
Co 0.094 0.625 0.969
Co 0.375 0.344 0.469
Co 0.656 0.125 0.031
Co 0.875 0.906 0.531
Ge 0.000 0.000 0.000
Ge 0.750 0.250 0.500
Sb 0.250 0.750 0.500
Sb 0.500 0.500 0.000
```

---

Which value of total moment does entry 3 give?
3.48 μB per formula unit

---

The highest energy relative to the elements, uncorrected belongs to which entry?
Co3GeSb

---

energy relative to the elements, uncorrected of number 1 (Co2GeSb2)?
227 meV/atom

---

Which value of energy relative to the elements, uncorrected does entry 3 give?
1187 meV/atom